# 1
The following is a GGA-PBEsol calculation of a relaxed structure of FeTcAs2, from the Alexandria database.

Cell: 2.851 2.851 7.466 Å, 90.00 90.00 90.00°
Site moments in Bohr magnetons follow the coordinates.
Fractional positions:
As 0.000 0.000 0.944  0.02
Tc 0.500 0.500 0.723  0.05
Fe 0.000 0.000 0.510  1.25
As 0.500 0.500 0.323  -0.03

Output
The symmetry is No. 99. Its energy of formation from the pure elements is -0.015 eV/atom. The total energy comes out at -7.63 eV/atom. Its energy above the lowest structure with this stoichiometry is 0 meV/atom. The density of states at the Fermi level comes out at 2.635 states/eV/cell.

# 2
The following is a GGA-PBEsol calculation of a relaxed structure of In3PO, from the Alexandria database.

Cell: 5.088 5.088 5.088 Å, 90.00 90.00 90.00°
Fractional positions:
P 0.000 0.000 0.000
In 0.000 0.000 0.500
In 0.500 0.000 0.000
O 0.500 0.500 0.500
In 0.000 0.500 0.000

Output
The symmetry is No. 221. The total energy comes out at -3.37 eV/atom. For the uncorrected formation energy, the calculation gives 0.633 eV/atom. The density of states at the Fermi level comes out at 1.799 states/eV/cell.

# 3
The following is a GGA-PBEsol calculation of a relaxed structure of AgMo2Pb, from the Alexandria database.

Cell: 3.251 3.251 6.975 Å, 90.00 90.00 90.00°
Fractional positions:
Pb 0.000 0.000 0.494
Mo 0.500 0.500 0.201
Mo 0.000 0.000 0.027
Ag 0.500 0.500 0.778

Output
The symmetry is No. 99. Its energy of formation from the pure elements is 0.455 eV/atom. The total energy comes out at -7.26 eV/atom. The density of states at the Fermi level comes out at 3.239 states/eV/cell.

# 4
The following is a GGA-PBEsol calculation of a relaxed structure of La3CoCu, from the Alexandria database.

Cell: 5.176 5.176 5.176 Å, 90.00 90.00 90.00°
Fractional positions:
Co 0.000 0.000 0.000
La 0.500 0.000 0.000
Cu 0.500 0.500 0.500
La 0.000 0.000 0.500
La 0.000 0.500 0.000

Output
The symmetry is No. 221. Its energy of formation from the pure elements is 0.148 eV/atom. The total energy comes out at -5.47 eV/atom. The density of states at the Fermi level comes out at 5.825 states/eV/cell.